--- P ---
Computed, not measured: a geometry-optimized Sr2Nb2Se structure at the PBE-GGA level of DFT.

Cell lengths 4.9397, 4.9397, 7.6691 Å; angles 71.21, 71.21, 90.00 degrees
With the nearest neighbours (Å) after each atom.
Positions (direct):
Se 0.0000 0.0000 0.0000  8 Nb 3.65
Sr 0.2500 0.7500 0.5000  4 Nb 3.42, 4 Sr 3.49
Nb 0.5767 0.5767 0.8466  1 Nb 2.09
Sr 0.7500 0.2500 0.5000  4 Nb 3.42, 4 Sr 3.49
Nb 0.4233 0.4233 0.1534  1 Nb 2.09

Values from the calculation:
space group = I4/mmm, No. 139
total moment = 0.00 μB/cell

--- Q ---
Computed, not measured: a geometry-optimized Sr2Nb2Se structure at the PBE-GGA level of DFT.

Cell lengths 6.8830, 6.8830, 5.5966 Å; angles 90.00, 90.00, 90.00 degrees
With the nearest neighbours (Å) after each atom.
Positions (direct):
Se 0.5000 0.5000 0.0000  4 Nb 2.65
Nb 0.6413 0.1413 0.0000  2 Se 2.65, 1 Nb 2.75
Sr 0.3320 0.1680 0.5000  5 Sr 3.27-3.62, 6 Nb 3.36-3.52
Sr 0.1680 0.6680 0.5000  5 Sr 3.27-3.62, 6 Nb 3.36-3.52
Nb 0.3587 0.8587 0.0000  2 Se 2.65, 1 Nb 2.75
Nb 0.1413 0.3587 0.0000  2 Se 2.65, 1 Nb 2.75
Sr 0.8320 0.3320 0.5000  5 Sr 3.27-3.62, 6 Nb 3.36-3.52
Se 0.0000 0.0000 0.0000  4 Nb 2.65
Sr 0.6680 0.8320 0.5000  5 Sr 3.27-3.62, 6 Nb 3.36-3.52
Nb 0.8587 0.6413 0.0000  2 Se 2.65, 1 Nb 2.75

Values from the calculation:
space group = P4/mbm, No. 127
total moment = 0.00 μB/cell

Least stable structure: P